DFT (PBE-GGA) results for a geometry-optimized TaTiIn2 structure.

The structure belongs to space group Fm-3m (No. 225); the cell edges are 6.782, 6.782 and 6.782 Å and the angles 90.00°, 90.00° and 90.00°. The inequivalent atoms are Ta at (0.000, 0.000, 0.000), Ti at (0.000, 0.000, 0.500) and In at (0.250, 0.250, 0.250).

The calculation puts the energy at -6.029 eV per atom. The calculation puts the energy above the most stable polymorph in this dataset at 232.4 meV/atom. As for the density of states at the Fermi level: 15.1 states/eV per cell. The value obtained for the total moment is 0.00 μB per cell. As for the energy of formation from the pure elements: 0.28 eV/atom.


DFT (PBE-GGA) results for a geometry-optimized UTiW structure.

The structure belongs to space group P3m1 (No. 156); the cell edges are 4.6347, 4.6347 and 2.8478 Å and the angles 90.00°, 90.00° and 120.00°. The inequivalent atoms are U at (0.0000, 0.0000, 0.0000), Ti at (0.3333, 0.6667, 0.3506) and W at (0.6667, 0.3333, 0.7167).

The calculation puts the energy at -10.516 eV per atom. The calculation puts the energy above the most stable polymorph in this dataset at 0.0 meV/atom. As for the density of states at the Fermi level: 4.8 states/eV per cell. The value obtained for the total moment is 0.02 μB per cell. As for the energy of formation from the pure elements: 0.20 eV/atom.


DFT (PBE-GGA) results for a geometry-optimized Cs4K9Rb structure.

The structure belongs to space group I4/mcm (No. 140); the cell edges are 15.295, 15.295 and 22.175 Å and the angles 90.00°, 90.00° and 90.00°. The inequivalent atoms are Cs at (0.190, 0.310, 0.132), K at (0.000, 0.500, 0.000), K at (0.054, 0.203, 0.500), K at (0.105, 0.395, 0.327) and Rb at (0.000, 0.000, 0.250).

The calculation puts the energy at -0.961 eV per atom. As for the density of states at the Fermi level: 51.5 states/eV per cell. The value obtained for the total moment is 0.00 μB per cell. As for the energy of formation from the pure elements: 0.06 eV/atom.


DFT (PBE-GGA) results for a geometry-optimized TbTm12Co5 structure.

The structure belongs to space group Immm (No. 71); the cell edges are 9.304, 9.329 and 9.910 Å and the angles 90.00°, 90.00° and 90.00°. The inequivalent atoms are Tb at (0.000, 0.000, 0.000), Tm at (0.000, 0.191, 0.294), Tm at (0.188, 0.500, 0.314), Tm at (0.212, 0.318, 0.000), Co at (0.000, 0.000, 0.500), Co at (0.000, 0.373, 0.500) and Co at (0.000, 0.500, 0.113).

The calculation puts the energy at -5.365 eV per atom. As for the density of states at the Fermi level: 33.7 states/eV per cell. The value obtained for the total moment is 0.00 μB per cell. As for the energy of formation from the pure elements: -0.15 eV/atom.


DFT (PBE-GGA) results for a geometry-optimized AcPm2Os structure.

The structure belongs to space group Cmcm (No. 63); the cell edges are 4.115, 12.774 and 9.449 Å and the angles 90.00°, 90.00° and 90.00°. The inequivalent atoms are Ac at (0.000, 0.075, 0.250), Pm at (0.000, 0.350, 0.071) and Os at (0.000, 0.251, 0.750).

The calculation puts the energy at -6.293 eV per atom. The calculation puts the energy above the most stable polymorph in this dataset at 11.7 meV/atom. As for the density of states at the Fermi level: 18.5 states/eV per cell. The value obtained for the total moment is 0.00 μB per cell. As for the energy of formation from the pure elements: -0.08 eV/atom.


DFT (PBE-GGA) results for a geometry-optimized CeDyMg2Tl4 structure.

The structure belongs to space group R-3m (No. 166, hexagonal axes); the cell edges are 5.2738, 5.2738 and 26.2104 Å and the angles 90.00°, 90.00° and 120.00°. The inequivalent atoms are Ce at (0.0000, 0.0000, 0.0000), Dy at (0.0000, 0.0000, 0.5000), Mg at (0.0000, 0.0000, 0.2497), Tl at (0.0000, 0.0000, 0.1260) and Tl at (0.0000, 0.0000, 0.3775).

The calculation puts the energy at -3.109 eV per atom. As for the density of states at the Fermi level: 24.4 states/eV per cell. The value obtained for the total moment is 3.22 μB per cell. As for the energy of formation from the pure elements: -0.21 eV/atom.


DFT (PBE-GGA) results for a geometry-optimized KDyScTe3 structure.

The structure belongs to space group P2_1/m (No. 11); the cell edges are 9.621, 4.562 and 10.647 Å and the angles 90.00°, 107.02° and 90.00°. The inequivalent atoms are K at (0.203, 0.250, 0.230), Dy at (0.338, 0.750, 0.865), Sc at (0.084, 0.250, 0.607), Te at (0.115, 0.250, 0.875), Te at (0.224, 0.750, 0.543) and Te at (0.456, 0.750, 0.163).

The calculation puts the energy at -4.784 eV per atom. As for the energy relative to the elements, uncorrected: -1.21 eV per atom. As for the density of states at the Fermi level: 5.5 states/eV per cell. The value obtained for the total moment is 0.60 μB per cell.


DFT (PBE-GGA) results for a geometry-optimized LiRe2Mo structure.

The structure belongs to space group P4mm (No. 99); the cell edges are 3.158, 3.158 and 5.687 Å and the angles 90.00°, 90.00° and 90.00°. The inequivalent atoms are Li at (0.000, 0.000, 0.000), Re at (0.000, 0.000, 0.508), Re at (0.500, 0.500, 0.774) and Mo at (0.500, 0.500, 0.233).

The calculation puts the energy at -9.050 eV per atom. The calculation puts the energy above the most stable polymorph in this dataset at 179.2 meV/atom. As for the density of states at the Fermi level: 3.5 states/eV per cell. The value obtained for the total moment is 0.00 μB per cell. As for the energy of formation from the pure elements: 0.36 eV/atom.


Question: What is the total moment in the eighth record?
Answer: 0.00 μB per cell


Copy entry 3 word for word.
DFT (PBE-GGA) results for a geometry-optimized Cs4K9Rb structure.

The structure belongs to space group I4/mcm (No. 140); the cell edges are 15.295, 15.295 and 22.175 Å and the angles 90.00°, 90.00° and 90.00°. The inequivalent atoms are Cs at (0.190, 0.310, 0.132), K at (0.000, 0.500, 0.000), K at (0.054, 0.203, 0.500), K at (0.105, 0.395, 0.327) and Rb at (0.000, 0.000, 0.250).

The calculation puts the energy at -0.961 eV per atom. As for the density of states at the Fermi level: 51.5 states/eV per cell. The value obtained for the total moment is 0.00 μB per cell. As for the energy of formation from the pure elements: 0.06 eV/atom.